A plane-wave DFT calculation with PBE was carried out for an optimized crystal structure of LiAcNb2O7.

As for the uncorrected formation energy: -2.76 eV/atom. The total magnetization is 0.00 μB per cell.

The space group is I-4m2 (No. 119) and the conventional cell measures 3.940, 3.940 and 20.278 Å, with angles of 90.00, 90.00 and 90.00 degrees. The inequivalent atoms are Li at (0.000, 0.000, 0.000), Ac at (0.000, 0.500, 0.750), Nb at (0.000, 0.500, 0.133), O at (0.000, 0.000, 0.153), O at (0.000, 0.000, 0.345), O at (0.000, 0.500, 0.043) and O at (0.000, 0.500, 0.250).

A plane-wave DFT calculation with PBE was carried out for an optimized crystal structure of LiAc2NbO6.

As for the uncorrected formation energy: -3.00 eV/atom. For the density of states at the Fermi level, the calculation gives 0.000 states/eV/cell. The total magnetization is 0.00 μB per cell.

The space group is P2_1/c (No. 14) and the conventional cell measures 5.796, 5.903 and 10.002 Å, with angles of 90.00, 125.31 and 90.00 degrees. The inequivalent atoms are Li at (0.000, 0.000, 0.000), Ac at (0.241, 0.045, 0.749), Nb at (0.500, 0.000, 0.500), O at (0.178, 0.195, 0.459), O at (0.261, 0.720, 0.454) and O at (0.343, 0.026, 0.260).

A plane-wave DFT calculation with PBE was carried out for an optimized crystal structure of LiAc3Nb2O9.

As for the uncorrected formation energy: -2.84 eV/atom. For the density of states at the Fermi level, the calculation gives 6.047 states/eV/cell. The total magnetization is 0.00 μB per cell.

The space group is P-3m1 (No. 164) and the conventional cell measures 5.7559, 5.7559 and 7.1269 Å, with angles of 90.00, 90.00 and 120.00 degrees. The inequivalent atoms are Li at (0.0000, 0.0000, 0.0000), Ac at (0.0000, 0.0000, 0.5000), Ac at (0.3333, 0.6667, 0.1397), Nb at (0.3333, 0.6667, 0.6683), O at (0.0000, 0.5000, 0.5000) and O at (0.1690, 0.3380, 0.8334).

A plane-wave DFT calculation with PBE was carried out for an optimized crystal structure of LiAc6Nd.

For the density of states at the Fermi level, the calculation gives 25.955 states/eV/cell. The calculation puts the formation energy at 59.7 kJ/mol of formula units. The total magnetization is 0.00 μB per cell.

The space group is I4/mmm (No. 139) and the conventional cell measures 5.634, 5.634 and 20.701 Å, with angles of 90.00, 90.00 and 90.00 degrees. The inequivalent atoms are Li at (0.000, 0.000, 0.000), Ac at (0.000, 0.000, 0.250), Ac at (0.000, 0.500, 0.115) and Nd at (0.000, 0.000, 0.500).

A plane-wave DFT calculation with PBE was carried out for an optimized crystal structure of LiAc2Nd.

For the density of states at the Fermi level, the calculation gives 5.926 states/eV/cell. The calculation puts the formation energy at 21.2 kJ/mol of formula units. The total magnetization is 0.00 μB per cell. For the energy relative to the lowest polymorph listed for this composition, the calculation gives 0 meV/atom.

The space group is P4/mmm (No. 123) and the conventional cell measures 3.940, 3.940 and 9.494 Å, with angles of 90.00, 90.00 and 90.00 degrees. The inequivalent atoms are Li at (0.000, 0.000, 0.000), Ac at (0.500, 0.500, 0.227) and Nd at (0.000, 0.000, 0.500).

A plane-wave DFT calculation with PBE was carried out for an optimized crystal structure of Li2AcNd.

For the density of states at the Fermi level, the calculation gives 23.827 states/eV/cell. The calculation puts the formation energy at 53.8 kJ/mol of formula units. The total magnetization is 0.02 μB per cell. For the energy relative to the lowest polymorph listed for this composition, the calculation gives 6 meV/atom.

The space group is Fm-3m (No. 225) and the conventional cell measures 7.875, 7.875 and 7.875 Å, with angles of 90.00, 90.00 and 90.00 degrees. The inequivalent atoms are Li at (0.250, 0.250, 0.250), Ac at (0.000, 0.000, 0.000) and Nd at (0.000, 0.000, 0.500).

A plane-wave DFT calculation with PBE was carried out for an optimized crystal structure of LiAc2Nd.

For the density of states at the Fermi level, the calculation gives 11.854 states/eV/cell. The calculation puts the formation energy at 34.9 kJ/mol of formula units. The total magnetization is 0.00 μB per cell. For the energy relative to the lowest polymorph listed for this composition, the calculation gives 36 meV/atom.

The space group is R3m (No. 160, hexagonal axes) and the conventional cell measures 3.8663, 3.8663 and 35.5643 Å, with angles of 90.00, 90.00 and 120.00 degrees. The inequivalent atoms are Li at (0.0000, 0.0000, 0.0000), Ac at (0.0000, 0.0000, 0.4135), Ac at (0.0000, 0.0000, 0.5854) and Nd at (0.0000, 0.0000, 0.8325).

A plane-wave DFT calculation with PBE was carried out for an optimized crystal structure of LiAc2Nd.

For the density of states at the Fermi level, the calculation gives 17.496 states/eV/cell. The calculation puts the formation energy at 53.4 kJ/mol of formula units. The total magnetization is 0.00 μB per cell. For the energy relative to the lowest polymorph listed for this composition, the calculation gives 83 meV/atom.

The space group is Fm-3m (No. 225) and the conventional cell measures 8.424, 8.424 and 8.424 Å, with angles of 90.00, 90.00 and 90.00 degrees. The inequivalent atoms are Li at (0.000, 0.000, 0.000), Ac at (0.250, 0.250, 0.250) and Nd at (0.000, 0.000, 0.500).